Entry 1:
Density functional theory data (PBE-GGA) for a geometry-optimized U2Si3Os structure.

Structure (CIF):
```
data_U2Si3Os
_chemical_formula_sum 'U16 Si24 Os8'
_symmetry_space_group_name_H-M 'F m m m'
_symmetry_Int_Tables_number 69
_symmetry_space_group_name_Hall '-F 2 2'
_cell_length_a 7.5973
_cell_length_b 8.2469
_cell_length_c 14.0461
_cell_angle_alpha 90.00
_cell_angle_beta 90.00
_cell_angle_gamma 90.00
loop_
_atom_site_label
_atom_site_fract_x
_atom_site_fract_y
_atom_site_fract_z
_atom_site_occupancy
U1 0.2414 0.0000 0.0000 1
U2 0.2500 0.2500 0.2500 1
Si1 0.0000 0.0000 0.3353 1
Si2 0.0000 0.2432 0.4175 1
Os1 0.0000 0.0000 0.1641 1
```

Results
- Fermi-level density of states: 85.51 states/eV/cell
- Formation energy without anion corrections: -387 meV per atom
- Calculated volume: 880.1 Å³ per cell



Entry 2:
Density functional theory data (PBE-GGA) for a geometry-optimized U3Si3Os5 structure.

Structure (CIF):
```
data_U3Si3Os5
_chemical_formula_sum 'U3 Si3 Os5'
_symmetry_space_group_name_H-M 'P -6 2 m'
_symmetry_Int_Tables_number 189
_symmetry_space_group_name_Hall 'P -6 -2'
_cell_length_a 8.0701
_cell_length_b 8.0701
_cell_length_c 3.9523
_cell_angle_alpha 90.00
_cell_angle_beta 90.00
_cell_angle_gamma 120.00
loop_
_atom_site_label
_atom_site_fract_x
_atom_site_fract_y
_atom_site_fract_z
_atom_site_occupancy
U1 0.0000 0.7273 0.0000 1
Si1 0.0000 0.4744 0.5000 1
Os1 0.0000 0.1897 0.5000 1
Os2 0.3333 0.6667 0.5000 1
```

Results
- Fermi-level density of states: 19.08 states/eV/cell
- Formation energy without anion corrections: 320 meV per atom
- Calculated volume: 222.9 Å³ per cell



Entry 3:
Density functional theory data (PBE-GGA) for a geometry-optimized U2Si3Os5 structure.

Structure (CIF):
```
data_U2Si3Os5
_chemical_formula_sum 'U8 Si12 Os20'
_symmetry_space_group_name_H-M 'C m c 21'
_symmetry_Int_Tables_number 36
_cell_length_a 4.0848
_cell_length_b 24.0366
_cell_length_c 6.5085
_cell_angle_alpha 90.00
_cell_angle_beta 90.00
_cell_angle_gamma 90.00
loop_
_symmetry_equiv_pos_as_xyz
'x,y,z'
'-x,-y,z+1/2'
'-x,y,z'
'x,-y,z+1/2'
'x+1/2,y+1/2,z'
'-x+1/2,-y+1/2,z+1/2'
'-x+1/2,y+1/2,z'
'x+1/2,-y+1/2,z+1/2'
loop_
_atom_site_label
_atom_site_fract_x
_atom_site_fract_y
_atom_site_fract_z
_atom_site_occupancy
U1 0.0000 0.0154 0.0000 1
U2 0.0000 0.3253 0.9879 1
Si1 0.0000 0.1107 0.2435 1
Si2 0.0000 0.2701 0.4789 1
Si3 0.0000 0.4500 0.2234 1
Os1 0.0000 0.1018 0.6520 1
Os2 0.0000 0.2045 0.7697 1
Os3 0.0000 0.2091 0.1814 1
Os4 0.0000 0.3715 0.4844 1
Os5 0.0000 0.4459 0.8438 1
```

Results
- Fermi-level density of states: 33.68 states/eV/cell
- Formation energy without anion corrections: -318 meV per atom
- Calculated volume: 639.0 Å³ per cell



Entry 4:
Density functional theory data (PBE-GGA) for a geometry-optimized USi2Os structure.

Structure (CIF):
```
data_USi2Os
_chemical_formula_sum 'U3 Si6 Os3'
_symmetry_space_group_name_H-M 'R -3 m'
_symmetry_Int_Tables_number 166
_symmetry_space_group_name_Hall '-R 3 2"'
_cell_length_a 2.8770
_cell_length_b 2.8770
_cell_length_c 28.3126
_cell_angle_alpha 90.00
_cell_angle_beta 90.00
_cell_angle_gamma 120.00
loop_
_atom_site_label
_atom_site_fract_x
_atom_site_fract_y
_atom_site_fract_z
_atom_site_occupancy
U1 0.0000 0.0000 0.0000 1
Si1 0.0000 0.0000 0.1004 1
Os1 0.0000 0.0000 0.5000 1
```

Results
- Fermi-level density of states: 15.71 states/eV/cell
- Formation energy without anion corrections: 145 meV per atom
- Calculated volume: 202.9 Å³ per cell



Entry 5:
Density functional theory data (PBE-GGA) for a geometry-optimized USiOs structure.

Structure (CIF):
```
data_USiOs
_chemical_formula_sum 'U2 Si2 Os2'
_symmetry_space_group_name_H-M 'P 1 21/m 1'
_symmetry_Int_Tables_number 11
_cell_length_a 3.9383
_cell_length_b 4.2075
_cell_length_c 6.3640
_cell_angle_alpha 90.00
_cell_angle_beta 103.01
_cell_angle_gamma 90.00
loop_
_symmetry_equiv_pos_as_xyz
'x,y,z'
'-x,-y,-z'
'-x,y+1/2,-z'
'x,-y+1/2,z'
loop_
_atom_site_label
_atom_site_fract_x
_atom_site_fract_y
_atom_site_fract_z
_atom_site_occupancy
U1 0.1488 0.2500 0.1279 1
Si1 0.2340 0.7500 0.5096 1
Os1 0.3469 0.2500 0.7296 1
```

Results
- Fermi-level density of states: 7.13 states/eV/cell
- Formation energy without anion corrections: -250 meV per atom
- Calculated volume: 102.7 Å³ per cell



Entry 6:
Density functional theory data (PBE-GGA) for a geometry-optimized U2Si3Os structure.

Structure (CIF):
```
data_U2Si3Os
_chemical_formula_sum 'U2 Si3 Os1'
_symmetry_space_group_name_H-M 'P m m 2'
_symmetry_Int_Tables_number 25
_cell_length_a 3.6437
_cell_length_b 4.1905
_cell_length_c 7.1015
_cell_angle_alpha 90.00
_cell_angle_beta 90.00
_cell_angle_gamma 90.00
loop_
_symmetry_equiv_pos_as_xyz
'x,y,z'
'-x,-y,z'
'-x,y,z'
'x,-y,z'
loop_
_atom_site_label
_atom_site_fract_x
_atom_site_fract_y
_atom_site_fract_z
_atom_site_occupancy
U1 0.0000 0.0000 0.0000 1
U2 0.0000 0.5000 0.4907 1
Si1 0.5000 0.0000 0.6697 1
Si2 0.5000 0.5000 0.1540 1
Si3 0.5000 0.5000 0.8251 1
Os1 0.5000 0.0000 0.3286 1
```

Results
- Fermi-level density of states: 9.23 states/eV/cell
- Formation energy without anion corrections: -392 meV per atom
- Calculated volume: 108.4 Å³ per cell



Entry 7:
Density functional theory data (PBE-GGA) for a geometry-optimized USiOs structure.

Structure (CIF):
```
data_USiOs
_chemical_formula_sum 'U2 Si2 Os2'
_symmetry_space_group_name_H-M 'I 4 m m'
_symmetry_Int_Tables_number 107
_symmetry_space_group_name_Hall 'I 4 -2'
_cell_length_a 3.0262
_cell_length_b 3.0262
_cell_length_c 11.0535
_cell_angle_alpha 90.00
_cell_angle_beta 90.00
_cell_angle_gamma 90.00
loop_
_atom_site_label
_atom_site_fract_x
_atom_site_fract_y
_atom_site_fract_z
_atom_site_occupancy
U1 0.0000 0.0000 0.0000 1
Si1 0.0000 0.0000 0.3036 1
Os1 0.0000 0.0000 0.6893 1
```

Results
- Fermi-level density of states: 9.43 states/eV/cell
- Formation energy without anion corrections: -256 meV per atom
- Calculated volume: 101.2 Å³ per cell



Entry 8:
Density functional theory data (PBE-GGA) for a geometry-optimized USi2Os4 structure.

Structure (CIF):
```
data_USi2Os4
_chemical_formula_sum 'U2 Si4 Os8'
_symmetry_space_group_name_H-M 'P 42/m n m'
_symmetry_Int_Tables_number 136
_symmetry_space_group_name_Hall '-P 4n 2n'
_cell_length_a 7.5469
_cell_length_b 7.5469
_cell_length_c 3.8729
_cell_angle_alpha 90.00
_cell_angle_beta 90.00
_cell_angle_gamma 90.00
loop_
_atom_site_label
_atom_site_fract_x
_atom_site_fract_y
_atom_site_fract_z
_atom_site_occupancy
U1 0.0000 0.0000 0.0000 1
Si1 0.2212 0.2212 0.5000 1
Os1 0.0775 0.6610 0.5000 1
```

Results
- Fermi-level density of states: 15.72 states/eV/cell
- Formation energy without anion corrections: -326 meV per atom
- Calculated volume: 220.6 Å³ per cell